Record 1
The following is a DFT calculation (PBE) of KCoOs2 after structural relaxation.

Its energy above the most stable polymorph in this dataset is 0.529 eV per atom. The density comes out at 10.9 g/cm3. As for the density of states at the Fermi level: 5.41 states/eV/f.u. The calculation puts the total magnetic moment at 0.486 μB/atom. As for the crystal system: orthorhombic.

The structure belongs to space group Imm2 (No. 44); the cell edges are 2.635, 5.369 and 10.344 Å and the angles 90.00°, 90.00° and 90.00°. Symmetry generates all atoms from K at (0.000, 0.000, 0.000), Co at (0.000, 0.500, 0.216), Os at (0.000, 0.000, 0.511) and Os at (0.000, 0.500, 0.801).

Record 2
The following is a DFT calculation (PBE) of KCo4Os after structural relaxation.

The density comes out at 9.0 g/cm3. As for the density of states at the Fermi level: 7.46 states/eV/f.u. Its energy is -5.87 eV/atom. The calculation puts the total magnetic moment at 1.478 μB/atom. As for the crystal system: cubic.

The structure belongs to space group F-43m (No. 216); the cell edges are 7.001, 7.001 and 7.001 Å and the angles 90.00°, 90.00° and 90.00°. Symmetry generates all atoms from K at (0.000, 0.000, 0.000), Co at (0.123, 0.123, 0.377) and Os at (0.250, 0.250, 0.750).

Record 3
The following is a DFT calculation (PBE) of KCoOs2 after structural relaxation.

Its energy above the most stable polymorph in this dataset is 0.180 eV per atom. The density comes out at 10.5 g/cm3. As for the density of states at the Fermi level: 4.26 states/eV/f.u. The calculation puts the total magnetic moment at 0.398 μB/atom. As for the crystal system: orthorhombic.

The structure belongs to space group Pmmm (No. 47); the cell edges are 2.596, 3.629 and 8.038 Å and the angles 90.00°, 90.00° and 90.00°. Symmetry generates all atoms from K at (0.000, 0.000, 0.000), Co at (0.000, 0.000, 0.500) and Os at (0.500, 0.500, 0.344).

Record 4
The following is a DFT calculation (PBE) of KCoOs2 after structural relaxation.

Its energy above the most stable polymorph in this dataset is 1.216 eV per atom. The density comes out at 12.9 g/cm3. As for the density of states at the Fermi level: 12.44 states/eV/f.u. The calculation puts the total magnetic moment at 0.000 μB/atom. As for the crystal system: cubic.

The structure belongs to space group Fm-3m (No. 225); the cell edges are 6.265, 6.265 and 6.265 Å and the angles 90.00°, 90.00° and 90.00°. Symmetry generates all atoms from K at (0.000, 0.000, 0.000), Co at (0.000, 0.000, 0.500) and Os at (0.250, 0.250, 0.250).